Li2P2Os after structural relaxation, computed with GGA-PBE.

Unit cell a=5.9660 b=5.9660 c=3.9608 alpha=90.00 beta=90.00 gamma=90.00
Space group P4/mbm (No. 127)
Symmetry-distinct sites (fractional):
Li 0.1792 0.3208 0.0000 x4
P 0.1316 0.6316 0.5000 x4
Os 0.0000 0.0000 0.5000 x2

- formation energy (eV per atom) = -0.553
- density of states at the Fermi level (states/eV per atom) = 0.032

=====

Sm2ErTm3As6 after structural relaxation, computed with GGA-PBE.

Unit cell a=17.9426 b=4.1196 c=8.2325 alpha=90.00 beta=103.22 gamma=90.00
Space group C2/m (No. 12)
Symmetry-distinct sites (fractional):
Sm 0.1659 0.0000 0.3323 x4
Er 0.0000 0.5000 0.0000 x2
Tm 0.0000 0.5000 0.5000 x2
Tm 0.1671 0.0000 0.8338 x4
As 0.0025 0.0000 0.7507 x4
As 0.1646 0.5000 0.5886 x4
As 0.1666 0.5000 0.0766 x4

- formation energy (eV per atom) = -1.509
- density of states at the Fermi level (states/eV per atom) = 0.151

=====

NaTbEuIn after structural relaxation, computed with GGA-PBE.

Unit cell a=7.8610 b=7.8610 c=7.8610 alpha=90.00 beta=90.00 gamma=90.00
Space group F-43m (No. 216)
Symmetry-distinct sites (fractional):
Na 0.0000 0.0000 0.0000 x4
Tb 0.2500 0.2500 0.7500 x4
Eu 0.2500 0.2500 0.2500 x4
In 0.0000 0.0000 0.5000 x4

- formation energy (eV per atom) = -0.129
- density of states at the Fermi level (states/eV per atom) = 2.709